Here is crystalline Tl2VPbBr6 at its relaxed geometry from Alexandria via LeMat-Bulk. Energies are from PBE-GGA. Values from VASP.

```
&SYSTEM
  ibrav = 0, nat = 20, ntyp = 4
/
ATOMIC_SPECIES
Tl 204.38 Tl.upf
V 50.94 V.upf
Pb 207.20 Pb.upf
Br 79.90 Br.upf
ATOMIC_POSITIONS crystal
Tl 0.2500 0.0517 0.1851
Tl 0.2500 0.4483 0.1851
Tl 0.7500 0.5517 0.8149
Tl 0.7500 0.9483 0.8149
V 0.2500 0.7500 0.7763
V 0.7500 0.2500 0.2237
Pb 0.2500 0.2500 0.7094
Pb 0.7500 0.7500 0.2906
Br 0.9996 0.2500 0.4391
Br 0.0004 0.7500 0.5609
Br 0.0077 0.7500 0.0038
Br 0.2500 0.5144 0.7874
Br 0.2500 0.9856 0.7874
Br 0.4923 0.7500 0.0038
Br 0.5004 0.2500 0.4391
Br 0.4996 0.7500 0.5609
Br 0.5077 0.2500 0.9962
Br 0.7500 0.0144 0.2126
Br 0.7500 0.4856 0.2126
Br 0.9923 0.2500 0.9962
CELL_PARAMETERS angstrom
7.6780 0.0000 0.0000
0.0000 11.1790 0.0000
0.0000 0.0000 8.2781
```

Summary:
Density in kg/m3: 5358
Uncorrected formation energy in eV/f.u.: -8.0
E in eV for the cell shown: -71.18